1.
DFT (GGA-PBE) results for a relaxed structure of Rb8Na2Br.

## Properties
total magnetization	0.0	μB/f.u.
volume	1596.1	Å³ per cell
crystal system	monoclinic
E_form (uncorrected)	-268	meV/atom

a = 24.2522 Å, b = 5.0048 Å, c = 13.2983 Å
α = 90.00°, β = 98.57°, γ = 90.00°
Last column: nearest neighbours and their distance in Å.
Space group C2/m (No. 12)
Unique sites:
Rb 0.0031 0.0000 0.1864 [4 per cell]  2 Br 3.51
Rb 0.0920 0.5000 0.5492 [4 per cell]  2 Na 4.25, 1 Rb 4.46
Rb 0.1523 0.5000 0.0189 [4 per cell]  1 Br 3.66
Rb 0.2050 0.0000 0.3442 [4 per cell]  2 Na 4.24
Na 0.1801 0.0000 0.7770 [4 per cell]  8 Rb 4.21-4.54
Br 0.0000 0.5000 0.0000 [2 per cell]  6 Rb 3.51-3.66

=====

2.
DFT (GGA-PBE) results for a relaxed structure of AcLaDy2Tl4.

## Properties
total magnetization	0.0	μB/f.u.
volume	732.0	Å³ per cell
crystal system	trigonal
energy of formation from the pure elements	-0.35	eV per atom

a = 5.5639 Å, b = 5.5639 Å, c = 27.3055 Å
α = 90.00°, β = 90.00°, γ = 120.00°
Last column: nearest neighbours and their distance in Å.
Space group R-3m (No. 166, hexagonal axes)
Unique sites:
Ac 0.0000 0.0000 0.0000 [3 per cell]  8 Tl 3.43-3.45
La 0.0000 0.0000 0.5000 [3 per cell]  8 Tl 3.36-3.39
Dy 0.0000 0.0000 0.2495 [6 per cell]  8 Tl 3.36-3.48
Tl 0.0000 0.0000 0.1265 [6 per cell]  4 Dy 3.36-3.42, 3 La 3.39, 1 Ac 3.45
Tl 0.0000 0.0000 0.3770 [6 per cell]  1 La 3.36, 4 Dy 3.39-3.48, 3 Ac 3.43

=====

3.
DFT (GGA-PBE) results for a relaxed structure of SiTePt2.

## Properties
E above lowest polymorph	0.708	eV per atom
total magnetization	0.0	μB/f.u.
volume	288.2	Å³ per cell
crystal system	cubic
E_form (uncorrected)	319	meV/atom

a = 6.6052 Å, b = 6.6052 Å, c = 6.6052 Å
α = 90.00°, β = 90.00°, γ = 90.00°
Last column: nearest neighbours and their distance in Å.
Space group F-43m (No. 216)
Unique sites:
Si 0.0000 0.0000 0.0000 [4 per cell]  4 Te 2.86, 4 Pt 2.86
Te 0.2500 0.2500 0.7500 [4 per cell]  4 Pt 2.86, 4 Si 2.86
Pt 0.0000 0.0000 0.5000 [4 per cell]  4 Pt 2.86, 4 Te 2.86
Pt 0.2500 0.2500 0.2500 [4 per cell]  4 Pt 2.86, 4 Si 2.86

=====

4.
DFT (GGA-PBE) results for a relaxed structure of SrPa2AlO8.

## Properties
total magnetization	0.5	μB/f.u.
volume	348.7	Å³ per cell
crystal system	orthorhombic
E_form (uncorrected)	-3064	meV/atom

a = 6.8006 Å, b = 7.2203 Å, c = 7.1014 Å
α = 90.00°, β = 90.00°, γ = 90.00°
Last column: nearest neighbours and their distance in Å.
Space group Cmmm (No. 65)
Unique sites:
Sr 0.0000 0.0000 0.0000 [2 per cell]  6 O 2.37-2.51
Pa 0.0000 0.5000 0.2586 [4 per cell]  6 O 2.12-2.25
Al 0.0000 0.0000 0.5000 [2 per cell]  4 O 1.92
O 0.0000 0.2981 0.5000 [4 per cell]  1 Al 2.15, 2 Pa 2.25
O 0.0000 0.3286 0.0000 [4 per cell]  2 Pa 2.21, 1 Sr 2.37, 1 O 2.48
O 0.1917 0.0000 0.3016 [8 per cell]  1 Al 1.92, 1 Pa 2.12

=====

5.
DFT (GGA-PBE) results for a relaxed structure of MnCd2Tc.

## Properties
E above lowest polymorph	0.657	eV per atom
total magnetization	5.3	μB/f.u.
volume	308.2	Å³ per cell
crystal system	tetragonal
energy of formation from the pure elements	0.84	eV per atom

a = 7.4846 Å, b = 7.4846 Å, c = 5.5011 Å
α = 90.00°, β = 90.00°, γ = 90.00°
Last column: nearest neighbours and their distance in Å.
Space group I-42d (No. 122)
Unique sites:
Mn 0.0000 0.0000 0.0000 [4 per cell]  4 Cd 2.71, 2 Tc 2.75
Cd 0.2459 0.2500 0.1250 [8 per cell]  2 Mn 2.71, 2 Cd 2.75, 2 Tc 2.76
Tc 0.0000 0.0000 0.5000 [4 per cell]  2 Mn 2.75, 4 Cd 2.76

=====

6.
DFT (GGA-PBE) results for a relaxed structure of Sr2ZnCu9.

## Properties
total magnetization	0.0	μB/f.u.
volume	592.6	Å³ per cell
crystal system	trigonal
energy of formation from the pure elements	0.09	eV per atom

a = 5.1738 Å, b = 5.1738 Å, c = 25.5651 Å
α = 90.00°, β = 90.00°, γ = 120.00°
Last column: nearest neighbours and their distance in Å.
Space group R-3m (No. 166, hexagonal axes)
Unique sites:
Sr 0.0000 0.0000 0.1342 [6 per cell]  9 Cu 2.97-3.10
Zn 0.0000 0.0000 0.0000 [3 per cell]  18 Cu 2.99-3.26
Cu 0.0000 0.0000 0.3323 [6 per cell]  6 Cu 2.46-2.49
Cu 0.0000 0.0000 0.5000 [3 per cell]  6 Cu 2.72
Cu 0.0022 0.5011 0.0773 [18 per cell]  7 Cu 2.46-2.72

=====

7.
DFT (GGA-PBE) results for a relaxed structure of Li2Si2Ni.

## Properties
total magnetization	0.0	μB/f.u.
volume	258.7	Å³ per cell
crystal system	orthorhombic
E_form (uncorrected)	-155	meV/atom

a = 4.5516 Å, b = 11.0006 Å, c = 5.1663 Å
α = 90.00°, β = 90.00°, γ = 90.00°
Last column: nearest neighbours and their distance in Å.
Space group Ibam (No. 72)
Unique sites:
Li 0.0115 0.0978 0.0000 [8 per cell]  1 Li 2.15
Si 0.0106 0.3189 0.0000 [8 per cell]  2 Ni 2.37, 3 Li 2.43-2.46, 2 Si 2.58
Ni 0.0000 0.5000 0.2500 [4 per cell]  4 Si 2.37, 2 Ni 2.58

=====

8.
DFT (GGA-PBE) results for a relaxed structure of Sr4MgBe.

## Properties
total magnetization	0.0	μB/f.u.
volume	1070.8	Å³ per cell
crystal system	cubic
energy of formation from the pure elements	0.81	eV per atom

a = 10.2306 Å, b = 10.2306 Å, c = 10.2306 Å
α = 90.00°, β = 90.00°, γ = 90.00°
Last column: nearest neighbours and their distance in Å.
Space group F-43m (No. 216)
Unique sites:
Sr 0.1249 0.1249 0.1249 [16 per cell]  6 Sr 3.61-3.62
Mg 0.0000 0.0000 0.5000 [4 per cell]  12 Sr 4.24, 4 Be 4.43
Be 0.2500 0.2500 0.7500 [4 per cell]  12 Sr 4.24, 4 Mg 4.43

=====

9.
DFT (GGA-PBE) results for a relaxed structure of CePrSmSc.

## Properties
total magnetization	2.9	μB/f.u.
volume	504.7	Å³ per cell
crystal system	cubic
energy of formation from the pure elements	0.20	eV per atom

a = 7.9616 Å, b = 7.9616 Å, c = 7.9616 Å
α = 90.00°, β = 90.00°, γ = 90.00°
Last column: nearest neighbours and their distance in Å.
Space group F-43m (No. 216)
Unique sites:
Ce 0.0000 0.0000 0.0000 [4 per cell]  4 Pr 3.45, 4 Sm 3.45
Pr 0.2500 0.2500 0.7500 [4 per cell]  4 Ce 3.45, 4 Sc 3.45
Sm 0.2500 0.2500 0.2500 [4 per cell]  4 Ce 3.45, 4 Sc 3.45
Sc 0.0000 0.0000 0.5000 [4 per cell]  4 Sm 3.45, 4 Pr 3.45

=====

10.
DFT (GGA-PBE) results for a relaxed structure of LaIn2Au.

## Properties
total magnetization	0.0	μB/f.u.
volume	319.5	Å³ per cell
crystal system	trigonal
energy of formation from the pure elements	-0.49	eV per atom

a = 4.6894 Å, b = 4.6894 Å, c = 16.7741 Å
α = 90.00°, β = 90.00°, γ = 120.00°
Last column: nearest neighbours and their distance in Å.
Space group R-3m (No. 166, hexagonal axes)
Unique sites:
La 0.0000 0.0000 0.0000 [3 per cell]  6 In 3.30
In 0.0000 0.0000 0.2207 [6 per cell]  3 Au 2.85
Au 0.0000 0.0000 0.5000 [3 per cell]  6 In 2.85

=====

11.
DFT (GGA-PBE) results for a relaxed structure of AlZnSCl2.

## Properties
E above lowest polymorph	0.288	eV per atom
total magnetization	0.0	μB/f.u.
volume	112.1	Å³ per cell
crystal system	tetragonal
E_form (uncorrected)	-218	meV/atom

a = 4.7120 Å, b = 4.7120 Å, c = 5.0495 Å
α = 90.00°, β = 90.00°, γ = 90.00°
Last column: nearest neighbours and their distance in Å.
Space group P4/mmm (No. 123)
Unique sites:
Al 0.0000 0.0000 0.0000 [1 per cell]  4 S 3.33, 8 Cl 3.45
Zn 0.5000 0.5000 0.5000 [1 per cell]  4 Cl 2.36, 2 S 2.52
S 0.5000 0.5000 0.0000 [1 per cell]  2 Zn 2.52
Cl 0.0000 0.5000 0.5000 [2 per cell]  2 Zn 2.36

=====

12.
DFT (GGA-PBE) results for a relaxed structure of Na2BeCdRh.

## Properties
total magnetization	0.0	μB/f.u.
volume	142.3	Å³ per cell
crystal system	tetragonal
energy of formation from the pure elements	1.07	eV per atom

a = 5.3122 Å, b = 5.3122 Å, c = 5.0426 Å
α = 90.00°, β = 90.00°, γ = 90.00°
Last column: nearest neighbours and their distance in Å.
Space group P4/mmm (No. 123)
Unique sites:
Na 0.0000 0.5000 0.0000 [2 per cell]  2 Cd 2.66
Be 0.0000 0.0000 0.5000 [1 per cell]  8 Na 3.66, 4 Rh 3.76
Cd 0.5000 0.5000 0.0000 [1 per cell]  2 Rh 2.52, 4 Na 2.66
Rh 0.5000 0.5000 0.5000 [1 per cell]  2 Cd 2.52

=====

13.
DFT (GGA-PBE) results for a relaxed structure of Rb4IBrO.

## Properties
total magnetization	0.0	μB/f.u.
volume	1128.2	Å³ per cell
crystal system	orthorhombic
E_form (uncorrected)	-1344	meV/atom

a = 7.9070 Å, b = 18.0299 Å, c = 7.9138 Å
α = 90.00°, β = 90.00°, γ = 90.00°
Last column: nearest neighbours and their distance in Å.
Space group Cmcm (No. 63)
Unique sites:
Rb 0.0000 0.0962 0.2500 [4 per cell]  1 O 2.73
Rb 0.0000 0.3975 0.2500 [4 per cell]  1 O 2.70
Rb 0.2500 0.2500 0.0000 [8 per cell]  2 O 2.80
I 0.0000 0.3969 0.7500 [4 per cell]  9 Rb 3.71-3.96
Br 0.0000 0.1104 0.7500 [4 per cell]  9 Rb 3.72-3.97
O 0.0000 0.2476 0.2500 [4 per cell]  6 Rb 2.70-2.80

=====

14.
DFT (GGA-PBE) results for a relaxed structure of CoNi2Ag.

## Properties
E above lowest polymorph	0.072	eV per atom
total magnetization	2.7	μB/f.u.
volume	152.9	Å³ per cell
crystal system	trigonal
energy of formation from the pure elements	0.23	eV per atom

a = 2.6207 Å, b = 2.6207 Å, c = 25.7095 Å
α = 90.00°, β = 90.00°, γ = 120.00°
Last column: nearest neighbours and their distance in Å.
Space group R3m (No. 160, hexagonal axes)
Unique sites:
Co 0.0000 0.0000 0.0000 [3 per cell]  3 Ni 2.45, 6 Co 2.62
Ni 0.0000 0.0000 0.4851 [3 per cell]  9 Ni 2.49-2.62, 3 Ag 2.76
Ni 0.0000 0.0000 0.7414 [3 per cell]  3 Co 2.45, 9 Ni 2.49-2.62
Ag 0.0000 0.0000 0.2415 [3 per cell]  6 Ag 2.62, 3 Ni 2.76, 3 Co 2.81

=====

15.
DFT (GGA-PBE) results for a relaxed structure of As2PtCl.

## Properties
E above lowest polymorph	0.502	eV per atom
total magnetization	0.0	μB/f.u.
volume	153.5	Å³ per cell
crystal system	monoclinic
E_form (uncorrected)	148	meV/atom

a = 5.7662 Å, b = 7.2839 Å, c = 4.6353 Å
α = 90.00°, β = 127.97°, γ = 90.00°
Last column: nearest neighbours and their distance in Å.
Space group C2/m (No. 12)
Unique sites:
As 0.2500 0.2500 0.0000 [4 per cell]  2 Cl 2.58, 2 Pt 2.58, 2 As 2.88
Pt 0.0000 0.0000 0.5000 [2 per cell]  4 As 2.58, 2 Cl 2.88
Cl 0.0000 0.5000 0.5000 [2 per cell]  4 As 2.58, 2 Pt 2.88

=====

16.
DFT (GGA-PBE) results for a relaxed structure of PmNi2As2.

## Properties
E above lowest polymorph	0.031	eV per atom
total magnetization	0.0	μB/f.u.
volume	167.9	Å³ per cell
crystal system	tetragonal
energy of formation from the pure elements	-0.80	eV per atom

a = 4.1002 Å, b = 4.1002 Å, c = 9.9856 Å
α = 90.00°, β = 90.00°, γ = 90.00°
Last column: nearest neighbours and their distance in Å.
Space group I4/mmm (No. 139)
Unique sites:
Pm 0.0000 0.0000 0.0000 [2 per cell]  8 As 3.19, 8 Ni 3.23
Ni 0.0000 0.5000 0.2500 [4 per cell]  4 As 2.36
As 0.0000 0.0000 0.3678 [4 per cell]  4 Ni 2.36, 1 As 2.64

=====

17.
DFT (GGA-PBE) results for a relaxed structure of YAlGa2Pt4.

## Properties
total magnetization	0.0	μB/f.u.
volume	412.9	Å³ per cell
crystal system	trigonal
energy of formation from the pure elements	-0.94	eV per atom

a = 4.3201 Å, b = 4.3201 Å, c = 25.5489 Å
α = 90.00°, β = 90.00°, γ = 120.00°
Last column: nearest neighbours and their distance in Å.
Space group R-3m (No. 166, hexagonal axes)
Unique sites:
Y 0.0000 0.0000 0.0000 [3 per cell]  6 Pt 3.06, 6 Ga 3.29
Al 0.0000 0.0000 0.5000 [3 per cell]  8 Pt 2.49-2.62
Ga 0.0000 0.0000 0.2494 [6 per cell]  6 Pt 2.52-2.82
Pt 0.0000 0.0000 0.1355 [6 per cell]  3 Al 2.62, 4 Ga 2.82-2.91
Pt 0.0000 0.0000 0.4025 [6 per cell]  1 Al 2.49, 3 Ga 2.52

=====

18.
DFT (GGA-PBE) results for a relaxed structure of CaTcSb2.

## Properties
E above lowest polymorph	0.111	eV per atom
total magnetization	0.0	μB/f.u.
volume	339.5	Å³ per cell
crystal system	cubic
E_form (uncorrected)	-129	meV/atom

a = 6.9763 Å, b = 6.9763 Å, c = 6.9763 Å
α = 90.00°, β = 90.00°, γ = 90.00°
Last column: nearest neighbours and their distance in Å.
Space group Fm-3m (No. 225)
Unique sites:
Ca 0.0000 0.0000 0.0000 [4 per cell]  8 Sb 3.02
Tc 0.0000 0.0000 0.5000 [4 per cell]  8 Sb 3.02
Sb 0.2500 0.2500 0.2500 [8 per cell]  4 Tc 3.02, 4 Ca 3.02

=====

19.
DFT (GGA-PBE) results for a relaxed structure of Tb2Nd4HoEr2.

## Properties
total magnetization	0.0	μB/f.u.
volume	592.9	Å³ per cell
crystal system	monoclinic
energy of formation from the pure elements	0.02	eV per atom

a = 15.2935 Å, b = 5.0895 Å, c = 8.0321 Å
α = 90.00°, β = 108.49°, γ = 90.00°
Last column: nearest neighbours and their distance in Å.
Space group C2/m (No. 12)
Unique sites:
Tb 0.1115 0.0000 0.1700 [4 per cell]  3 Er 3.58, 1 Ho 3.58, 7 Nd 3.59-3.64, 1 Tb 3.63
Nd 0.0542 0.5000 0.8306 [4 per cell]  2 Er 3.58-3.60, 2 Ho 3.58, 4 Tb 3.59-3.63, 4 Nd 3.61-3.63
Nd 0.2225 0.0000 0.8311 [4 per cell]  3 Er 3.57-3.58, 1 Ho 3.59, 3 Tb 3.60-3.64, 5 Nd 3.62-3.63
Ho 0.0000 0.0000 0.5000 [2 per cell]  2 Tb 3.58, 6 Nd 3.58-3.59, 4 Er 3.61
Er 0.1672 0.5000 0.4997 [4 per cell]  5 Nd 3.57-3.60, 3 Tb 3.58, 2 Er 3.59, 2 Ho 3.61

=====

20.
DFT (GGA-PBE) results for a relaxed structure of V2CdP2.

## Properties
total magnetization	0.0	μB/f.u.
volume	146.9	Å³ per cell
crystal system	tetragonal
energy of formation from the pure elements	-0.28	eV per atom

a = 6.9310 Å, b = 6.9310 Å, c = 3.0576 Å
α = 90.00°, β = 90.00°, γ = 90.00°
Last column: nearest neighbours and their distance in Å.
Space group P4/mbm (No. 127)
Unique sites:
V 0.1363 0.3637 0.0000 [4 per cell]  6 P 2.49-2.62, 1 V 2.67, 2 Cd 2.69
Cd 0.0000 0.0000 0.0000 [2 per cell]  4 V 2.69
P 0.1468 0.6468 0.5000 [4 per cell]  6 V 2.49-2.62